A PBEsol-optimized structure of MnSN2Cl, computed with meta-GGA SCAN.

extended XYZ file:
```
5
Lattice="3.534 0.000 0.000 0.000 3.534 0.000 0.000 0.000 5.027" Properties=species:S:1:pos:R:3 pbc="T T T"
N 1.767 0.000 0.000
Mn 0.000 0.000 0.000
N 0.000 1.767 0.000
S 0.000 0.000 2.514
Cl 1.767 1.767 2.514
```

Its space group is P4/mmm, No. 123. Its formation energy from raw total energies is 696 meV per atom.

---

A PBEsol-optimized structure of NaMnCl3, computed with meta-GGA SCAN.

extended XYZ file:
```
5
Lattice="4.877 0.000 0.000 0.000 4.877 0.000 0.000 0.000 4.877" Properties=species:S:1:pos:R:3 pbc="T T T"
Cl 0.000 0.000 2.438
Cl 2.438 0.000 0.000
Na 0.000 0.000 0.000
Cl 0.000 2.438 0.000
Mn 2.438 2.438 2.438
```

Its space group is Pm-3m, No. 221. Its formation energy from raw total energies is -843 meV per atom.

---

A PBEsol-optimized structure of Na2MnCl4, computed with meta-GGA SCAN.

extended XYZ file:
```
14
Lattice="3.807 0.000 0.000 0.000 6.883 0.000 0.000 0.000 11.738" Properties=species:S:1:pos:R:3 pbc="T T T"
Cl 1.903 5.255 0.530
Cl 0.000 6.047 9.431
Cl 0.000 0.836 2.307
Na 1.903 4.034 9.621
Cl 1.903 1.628 11.208
Cl 1.903 5.070 6.399
Cl 0.000 2.606 8.176
Cl 1.903 1.813 5.339
Cl 0.000 4.277 3.562
Mn 0.000 3.442 5.869
Na 1.903 0.593 7.986
Mn 0.000 0.000 0.000
Na 1.903 2.849 2.117
Na 1.903 6.290 3.752
```

Its space group is Pbam, No. 55. Its formation energy from raw total energies is -1841 meV per atom.

---

| no. | VASP energy (eV/atom) |
| --- | --- |
| 1 | -10.192 |
| 2 | -10.124 |
| 3 | -10.212 |